(1)
Material: Ni3IrC
Method: DFT, meta-GGA SCAN
State: single point on PBEsol structure

Computed properties:
Energy relative to the elements in meV/atom: 376
Calculated density in g/cm³: 12.12

Cell: 3.7355 3.7355 3.7355 Å, 90.00 90.00 90.00°
Closest atoms and distances in Å follow each position.
Space group Pm-3m (No. 221)
Unique sites:
Ni  0.0000  0.0000  0.5000 [3 per cell]  2 C 1.87
Ir  0.5000  0.5000  0.5000 [1 per cell]  12 Ni 2.64
C  0.0000  0.0000  0.0000 [1 per cell]  6 Ni 1.87

=====

(2)
Material: V3SnH
Method: DFT, meta-GGA SCAN
State: single point on PBEsol structure

Computed properties:
Final energy in eV/atom: -18.587
Calculated density in g/cm³: 7.44

Cell: 5.5612 5.5612 4.5423 Å, 90.00 90.00 120.00°
Closest atoms and distances in Å follow each position.
Space group P6_3/mmc (No. 194)
Unique sites:
V  0.1570  0.3140  0.2500 [6 per cell]  2 H 1.89
Sn  0.3333  0.6667  0.7500 [2 per cell]  12 V 2.78-2.84
H  0.0000  0.0000  0.0000 [2 per cell]  6 V 1.89

=====

(3)
Material: ScAl
Method: DFT, meta-GGA SCAN
State: single point on PBEsol structure

Computed properties:
Energy relative to the elements in meV/atom: -394
Calculated density in g/cm³: 3.10

Cell: 3.3968 4.6387 9.7948 Å, 90.00 90.00 90.00°
Closest atoms and distances in Å follow each position.
Space group Imma (No. 74)
Unique sites:
Sc  0.0000  0.2500  0.1182 [4 per cell]  6 Al 2.89-3.08, 2 Sc 3.09
Al  0.0000  0.2500  0.6440 [4 per cell]  2 Al 2.68, 4 Sc 2.89